Record 1
First-principles (GGA-PBEsol) data for a relaxed structure of MnFeB, as listed in Alexandria.

Lattice parameters (Å, degrees): 4.089 6.942 7.107 90.00 90.00 90.00
Space group Fmmm (No. 69)
One atom of each set of equivalent atoms:
Mn  0.000  0.160  0.000 x8
Fe  0.000  0.000  0.338 x8
B  0.250  0.250  0.250 x8

Summary:
volume = 8.40 Å³ per atom
magnetization = 1.2 μB/f.u.
total DFT energy (no corrections) = -8.953 eV/atom
D(E_F) = 1.2354 states/eV per atom
energy relative to the elements = -373 meV/atom

Record 2
First-principles (GGA-PBEsol) data for a relaxed structure of FeB2Mo2, as listed in Alexandria.

Lattice parameters (Å, degrees): 5.697 5.697 3.137 90.00 90.00 90.00
Space group P4/mbm (No. 127)
One atom of each set of equivalent atoms:
Fe  0.000  0.000  0.000 x2
B  0.114  0.386  0.000 x4
Mo  0.177  0.677  0.500 x4

Summary:
volume = 10.18 Å³ per atom
magnetization = 1.7 μB/f.u.
total DFT energy (no corrections) = -9.807 eV/atom
D(E_F) = 0.5090 states/eV per atom
energy relative to the elements = -501 meV/atom

Record 3
First-principles (GGA-PBEsol) data for a relaxed structure of FeBSe2N, as listed in Alexandria.

Lattice parameters (Å, degrees): 5.274 5.274 2.657 90.00 90.00 90.00
Space group P4/mmm (No. 123)
One atom of each set of equivalent atoms:
Fe  0.000  0.000  0.000 x1
B  0.500  0.500  0.500 x1
Se  0.000  0.500  0.500 x2
N  0.500  0.500  0.000 x1

Summary:
formation energy from raw total energies = 178 kJ/mol of formula units
volume = 14.78 Å³ per atom
magnetization = 3.5 μB/f.u.
total DFT energy (no corrections) = -6.073 eV/atom
D(E_F) = 0.9930 states/eV per atom

Record 4
First-principles (GGA-PBEsol) data for a relaxed structure of FeBTeN2, as listed in Alexandria.

Lattice parameters (Å, degrees): 3.485 3.485 5.377 90.00 90.00 90.00
Space group P4/mmm (No. 123)
One atom of each set of equivalent atoms:
Fe  0.000  0.000  0.000 x1
B  0.500  0.500  0.500 x1
Te  0.000  0.000  0.500 x1
N  0.000  0.500  0.000 x2

Summary:
formation energy from raw total energies = 538 kJ/mol of formula units
volume = 13.06 Å³ per atom
magnetization = 0.0 μB/f.u.
total DFT energy (no corrections) = -6.197 eV/atom
D(E_F) = 0.5735 states/eV per atom

Record 5
First-principles (GGA-PBEsol) data for a relaxed structure of Na6Fe2B4PO16, as listed in Alexandria.

Lattice parameters (Å, degrees): 13.661 13.661 13.661 90.00 90.00 90.00
Space group Fd-3 (No. 203, origin choice 2)
One atom of each set of equivalent atoms:
Na  0.086  0.375  0.375 x48
Fe  0.000  0.000  0.500 x16
B  0.042  0.042  0.708 x32
P  0.125  0.125  0.125 x8
O  0.023  0.367  0.976 x96
O  0.059  0.059  0.059 x32

Summary:
formation energy from raw total energies = -5468 kJ/mol of formula units
volume = 10.99 Å³ per atom
magnetization = 5.1 μB/f.u.
total DFT energy (no corrections) = -6.926 eV/atom
D(E_F) = 0.4526 states/eV per atom

Record 6
First-principles (GGA-PBEsol) data for a relaxed structure of Nb2FeB2, as listed in Alexandria.

Lattice parameters (Å, degrees): 5.852 5.852 3.264 90.00 90.00 90.00
Space group P4/mbm (No. 127)
One atom of each set of equivalent atoms:
Nb  0.181  0.319  0.000 x4
Fe  0.000  0.000  0.500 x2
B  0.110  0.610  0.500 x4

Summary:
volume = 11.18 Å³ per atom
magnetization = 1.8 μB/f.u.
total DFT energy (no corrections) = -9.572 eV/atom
D(E_F) = 0.5337 states/eV per atom
energy relative to the elements = -644 meV/atom

Record 7
First-principles (GGA-PBEsol) data for a relaxed structure of NbFeB, as listed in Alexandria.

Lattice parameters (Å, degrees): 5.9384 5.9384 3.1736 90.00 90.00 120.00
Space group P-62m (No. 189)
One atom of each set of equivalent atoms:
Nb  0.0000  0.5885  0.0000 x3
Fe  0.0000  0.2377  0.5000 x3
B  0.0000  0.0000  0.0000 x1
B  0.3333  0.6667  0.5000 x2

Summary:
volume = 10.77 Å³ per atom
magnetization = 0.0 μB/f.u.
total DFT energy (no corrections) = -9.542 eV/atom
D(E_F) = 0.6448 states/eV per atom
energy relative to the elements = -608 meV/atom

Record 8
First-principles (GGA-PBEsol) data for a relaxed structure of NdFe12B6, as listed in Alexandria.

Lattice parameters (Å, degrees): 9.4030 9.4030 7.3579 90.00 90.00 120.00
Space group R-3m (No. 166, hexagonal axes)
One atom of each set of equivalent atoms:
Nd  0.0000  0.0000  0.0000 x3
Fe  0.0000  0.3692  0.5000 x18
Fe  0.0898  0.1797  0.3660 x18
B  0.0298  0.5149  0.2835 x18

Summary:
volume = 9.88 Å³ per atom
magnetization = 16.1 μB/f.u.
total DFT energy (no corrections) = -8.476 eV/atom
D(E_F) = 0.9319 states/eV per atom
energy relative to the elements = -327 meV/atom

Record 9
First-principles (GGA-PBEsol) data for a relaxed structure of Nd5Fe2B6, as listed in Alexandria.

Lattice parameters (Å, degrees): 5.4289 5.4289 23.8373 90.00 90.00 120.00
Space group R-3m (No. 166, hexagonal axes)
One atom of each set of equivalent atoms:
Nd  0.0000  0.0000  0.0000 x3
Nd  0.0000  0.0000  0.2518 x6
Nd  0.0000  0.0000  0.4162 x6
Fe  0.0000  0.0000  0.1212 x6
B  0.9997  0.3330  0.1667 x18

Summary:
volume = 15.60 Å³ per atom
magnetization = 0.6 μB/f.u.
total DFT energy (no corrections) = -7.060 eV/atom
D(E_F) = 0.5571 states/eV per atom
energy relative to the elements = -456 meV/atom

Record 10
First-principles (GGA-PBEsol) data for a relaxed structure of NdFe3B4O12, as listed in Alexandria.

Lattice parameters (Å, degrees): 9.3638 9.3638 7.2305 90.00 90.00 120.00
Space group R32 (No. 155, hexagonal axes)
One atom of each set of equivalent atoms:
Nd  0.0000  0.0000  0.0000 x3
Fe  0.0000  0.4377  0.0000 x9
B  0.0000  0.0000  0.5000 x3
B  0.0000  0.5642  0.5000 x9
O  0.0000  0.1488  0.5000 x9
O  0.0000  0.4148  0.5000 x9
O  0.0367  0.8159  0.1907 x18

Summary:
formation energy from raw total energies = -3914 kJ/mol of formula units
volume = 9.15 Å³ per atom
magnetization = 3.0 μB/f.u.
total DFT energy (no corrections) = -8.184 eV/atom
D(E_F) = 0.7080 states/eV per atom

Record 11
First-principles (GGA-PBEsol) data for a relaxed structure of Fe2NiB, as listed in Alexandria.

Lattice parameters (Å, degrees): 5.263 6.497 4.333 90.00 90.00 90.00
Space group Pnma (No. 62)
One atom of each set of equivalent atoms:
Fe  0.182  0.060  0.146 x8
Ni  0.028  0.250  0.631 x4
B  0.122  0.750  0.942 x4

Summary:
volume = 9.26 Å³ per atom
magnetization = 3.9 μB/f.u.
total DFT energy (no corrections) = -8.017 eV/atom
D(E_F) = 0.8806 states/eV per atom
energy relative to the elements = -242 meV/atom

Record 12
First-principles (GGA-PBEsol) data for a relaxed structure of FeNiB, as listed in Alexandria.

Lattice parameters (Å, degrees): 4.134 6.952 7.123 90.00 90.00 90.00
Space group Fmmm (No. 69)
One atom of each set of equivalent atoms:
Fe  0.000  0.167  0.000 x8
Ni  0.000  0.000  0.333 x8
B  0.250  0.250  0.250 x8

Summary:
volume = 8.53 Å³ per atom
magnetization = 1.6 μB/f.u.
total DFT energy (no corrections) = -7.697 eV/atom
D(E_F) = 0.8964 states/eV per atom
energy relative to the elements = -318 meV/atom